Version one
CaDy2Fe: optimized geometry, PBE.

abc: 3.3701 3.3701 9.5464
angles: 90.00 90.00 90.00
Positions (direct):
Ca (0.5000, 0.5000, 0.5000)
Fe (0.5000, 0.5000, 0.0000)
Dy (0.0000, 0.0000, 0.8323)
Dy (0.0000, 0.0000, 0.1677)

The value obtained for the total moment is 0.01 μB/cell. As for the crystal system: tetragonal.

***

Version two
CaDy2Fe: optimized geometry, PBE.

abc: 3.6638 3.6638 10.6617
angles: 80.11 80.11 60.00
Positions (direct):
Ca (0.0000, 0.0000, 0.0000)
Fe (0.5000, 0.5000, 0.5000)
Dy (0.1140, 0.1140, 0.6579)
Dy (0.8860, 0.8860, 0.3421)

The value obtained for the total moment is 0.56 μB/cell. As for the crystal system: trigonal.

***

version one wins, 19.8 kJ/mol of atoms ahead of the next structure.

***

Version one
CaDyGa4: optimized geometry, PBE.

abc: 5.5538 5.5538 5.5538
angles: 60.00 60.00 60.00
Positions (direct):
Ca (0.0000, 0.0000, 0.0000)
Ga (0.6247, 0.6247, 0.1259)
Ga (0.6247, 0.1259, 0.6247)
Ga (0.6247, 0.6247, 0.6247)
Ga (0.1259, 0.6247, 0.6247)
Dy (0.2500, 0.2500, 0.2500)

The value obtained for the total moment is 0.00 μB/cell. As for the crystal system: cubic.

***

Version two
CaDyGa4: optimized geometry, PBE.

abc: 4.3187 5.8730 5.8729
angles: 84.18 68.43 68.43
Positions (direct):
Ca (0.0000, 0.0000, 0.5000)
Dy (0.0000, 0.5000, 0.0000)
Ga (0.6682, 0.5603, 0.6033)
Ga (0.3318, 0.4397, 0.3967)
Ga (0.3319, 0.8969, 0.9393)
Ga (0.6681, 0.1031, 0.0607)

The value obtained for the total moment is 0.00 μB/cell. As for the crystal system: orthorhombic.

***

version two wins, 7.5 kJ/mol of atoms ahead of the next structure.

***

Version one
CaDy2Ga6: optimized geometry, PBE.

abc: 4.3901 7.1139 7.7832
angles: 117.19 106.38 90.00
Positions (direct):
Ca (0.0000, 0.5000, 0.0000)
Dy (0.8748, 0.8748, 0.7497)
Dy (0.1252, 0.1252, 0.2503)
Ga (0.6858, 0.8798, 0.3716)
Ga (0.3142, 0.1202, 0.6284)
Ga (0.3142, 0.5083, 0.6284)
Ga (0.5000, 0.1839, 0.0000)
Ga (0.5000, 0.8161, 0.0000)
Ga (0.6858, 0.4917, 0.3716)

The value obtained for the total moment is 0.00 μB/cell. As for the crystal system: orthorhombic.

***

Version two
CaDy2Ga6: optimized geometry, PBE.

abc: 4.1873 7.3305 7.3305
angles: 120.00 90.00 90.00
Positions (direct):
Ca (0.0000, 0.0000, 0.0000)
Dy (0.0000, 0.3333, 0.6667)
Dy (0.0000, 0.6667, 0.3333)
Ga (0.5000, 0.3353, 0.3353)
Ga (0.5000, 0.6647, 0.6647)
Ga (0.5000, 0.0000, 0.6647)
Ga (0.5000, 0.6647, 0.0000)
Ga (0.5000, 0.3353, 0.0000)
Ga (0.5000, 0.0000, 0.3353)

The value obtained for the total moment is 0.00 μB/cell. As for the crystal system: hexagonal.

***

version two wins, 9.7 kJ/mol of atoms ahead of the next structure.

***

Version one
CaDyGaGe: optimized geometry, PBE.

abc: 4.3961 4.0572 5.8755
angles: 90.00 111.97 90.00
Positions (direct):
Ca (0.1406, 0.0000, 0.2812)
Dy (0.8632, 0.5000, 0.7263)
Ga (0.5754, 0.5000, 0.1507)
Ge (0.4209, 0.0000, 0.8418)

The value obtained for the total moment is 0.00 μB/cell. As for the crystal system: orthorhombic.

***

Version two
CaDyGaGe: optimized geometry, PBE.

abc: 5.1021 5.1021 5.1021
angles: 60.00 60.00 60.00
Positions (direct):
Ge (0.2500, 0.2500, 0.2500)
Ca (0.0000, 0.0000, 0.0000)
Ga (0.7500, 0.7500, 0.7500)
Dy (0.5000, 0.5000, 0.5000)

The value obtained for the total moment is 0.00 μB/cell. As for the crystal system: cubic.

***

version one wins, 14.9 kJ/mol of atoms ahead of the next structure.

***

Version one
CaDyGaPd: optimized geometry, PBE.

abc: 3.8931 4.4237 5.8774
angles: 90.00 109.34 90.00
Positions (direct):
Ca (0.1460, 0.0000, 0.2920)
Dy (0.8582, 0.5000, 0.7163)
Ga (0.5697, 0.5000, 0.1394)
Pd (0.4261, 0.0000, 0.8522)

The value obtained for the total moment is 0.00 μB/cell. As for the crystal system: orthorhombic.

***

Version two
CaDyGaPd: optimized geometry, PBE.

abc: 5.0391 5.0391 5.0391
angles: 60.00 60.00 60.00
Positions (direct):
Ca (0.5000, 0.5000, 0.5000)
Ga (0.7500, 0.7500, 0.7500)
Pd (0.2500, 0.2500, 0.2500)
Dy (0.0000, 0.0000, 0.0000)

The value obtained for the total moment is 0.00 μB/cell. As for the crystal system: cubic.

***

version one wins, 2.4 kJ/mol of atoms ahead of the next structure.

***

Version one
CaGdDy2: optimized geometry, PBE.

abc: 5.7449 5.7449 5.7449
angles: 60.00 60.00 60.00
Positions (direct):
Ca (0.5000, 0.5000, 0.5000)
Gd (0.0000, 0.0000, 0.0000)
Dy (0.2500, 0.2500, 0.2500)
Dy (0.7500, 0.7500, 0.7500)

The value obtained for the total moment is 8.06 μB/cell. As for the crystal system: cubic.

***

Version two
CaGdDy2: optimized geometry, PBE.

abc: 5.1270 5.1070 5.1070
angles: 90.00 90.00 90.00
Positions (direct):
Ca (0.5000, 0.5000, 0.5000)
Gd (0.5000, 0.0000, 0.0000)
Dy (0.0000, 0.0000, 0.5000)
Dy (0.0000, 0.5000, 0.0000)

The value obtained for the total moment is 7.81 μB/cell. As for the crystal system: tetragonal.

***

version two wins, 3.4 kJ/mol of atoms ahead of the next structure.